Computed, not measured: an optimized crystal structure of Er6Ge2P3Se at the GGA-PBE level of DFT.

Results
Spin magnetization ... 0.000 μB per cell
Uncorrected formation energy ... -1370 meV/atom
E_tot ... -6.064 eV per atom

Structure (CIF):
```
data_Er6Ge2P3Se
_cell_length_a 3.953
_cell_length_b 8.187
_cell_length_c 9.044
_cell_angle_alpha 103.66
_cell_angle_beta 102.62
_cell_angle_gamma 90.00
_symmetry_space_group_name_H-M 'P 1'
_symmetry_Int_Tables_number 1
_symmetry_space_group_name_Hall 'P 1'
loop_
_atom_site_label
_atom_site_fract_x
_atom_site_fract_y
_atom_site_fract_z
Er1 0.330 0.922 0.660
Er2 0.999 0.261 0.998
Er3 0.001 0.739 0.002
Er4 0.670 0.078 0.340
Er5 0.664 0.592 0.328
Er6 0.336 0.408 0.672
Ge1 0.833 0.667 0.666
Ge2 0.167 0.333 0.334
P1 0.836 0.165 0.672
P2 0.500 0.500 0.000
P3 0.164 0.835 0.328
Se1 0.500 0.000 0.000
```